1.
Here is a relaxed SbOsRu2 crystal from the Alexandria database. Energies are from GGA-PBE.

Properties
The value obtained for the density of states at the Fermi level is 1.301 states/eV per atom. As for the mass density: 13.492 g/cm3. Its symmetry is R-3m, No. 166.

Unit cell a=8.7484 b=8.7484 c=8.7484 alpha=19.20 beta=19.20 gamma=19.20
Last column: nearest neighbours and their distance in Å.
Element x y z (fractional)
Sb (0.0000, 0.0000, 0.0000)  6 Ru 2.76, 6 Sb 2.92
Os (0.5000, 0.5000, 0.5000)  6 Ru 2.70, 6 Os 2.92
Ru (0.2485, 0.2485, 0.2485)  3 Os 2.70, 3 Sb 2.76, 6 Ru 2.92
Ru (0.7515, 0.7515, 0.7515)  3 Os 2.70, 3 Sb 2.76, 6 Ru 2.92

2.
Here is a relaxed Ba2Tl3BiPt4 crystal from the Alexandria database. Energies are from GGA-PBE.

Properties
The value obtained for the density of states at the Fermi level is 0.339 states/eV per atom. As for the mass density: 11.683 g/cm3. The value obtained for the energy of formation from the pure elements is -4.64 eV/f.u. Its symmetry is P-4m2, No. 115.

Unit cell a=4.9957 b=4.9957 c=10.6902 alpha=90.00 beta=90.00 gamma=90.00
Last column: nearest neighbours and their distance in Å.
Element x y z (fractional)
Ba (0.0000, 0.5000, 0.2324)  8 Pt 3.52-3.86, 7 Tl 3.73-3.80, 2 Bi 3.80
Ba (0.5000, 0.0000, 0.7676)  8 Pt 3.52-3.86, 7 Tl 3.73-3.80, 2 Bi 3.80
Tl (0.0000, 0.5000, 0.8798)  5 Pt 2.75-2.81
Tl (0.5000, 0.0000, 0.1202)  5 Pt 2.75-2.81
Tl (0.5000, 0.5000, 0.5000)  4 Pt 2.82
Bi (0.0000, 0.0000, 0.5000)  4 Pt 2.82
Pt (0.0000, 0.0000, 0.0000)  4 Tl 2.81
Pt (0.0000, 0.5000, 0.6226)  3 Tl 2.75-2.82, 2 Bi 2.82
Pt (0.5000, 0.0000, 0.3774)  3 Tl 2.75-2.82, 2 Bi 2.82
Pt (0.5000, 0.5000, 0.0000)  4 Tl 2.81

3.
Here is a relaxed SrGe4Au4 crystal from the Alexandria database. Energies are from GGA-PBE.

Properties
The value obtained for the density of states at the Fermi level is 0.409 states/eV per atom. As for the mass density: 9.777 g/cm3. The value obtained for the energy of formation from the pure elements is -1.96 eV/f.u. Its symmetry is P4_2/nmc, No. 137.

Unit cell a=6.7790 b=6.7790 c=8.6191 alpha=90.00 beta=90.00 gamma=90.00
Last column: nearest neighbours and their distance in Å.
Element x y z (fractional)
Sr (0.2500, 0.7500, 0.2500)  4 Au 3.45, 4 Ge 3.60
Sr (0.7500, 0.2500, 0.7500)  4 Au 3.45, 4 Ge 3.60
Ge (0.0075, 0.2500, 0.1159)  5 Au 2.64-2.75
Ge (0.2500, 0.0075, 0.6159)  5 Au 2.64-2.75
Ge (0.2500, 0.4925, 0.6159)  5 Au 2.64-2.75
Ge (0.4925, 0.2500, 0.1159)  5 Au 2.64-2.75
Ge (0.5075, 0.7500, 0.8841)  5 Au 2.64-2.75
Ge (0.7500, 0.5075, 0.3841)  5 Au 2.64-2.75
Ge (0.7500, 0.9925, 0.3841)  5 Au 2.64-2.75
Ge (0.9925, 0.7500, 0.8841)  5 Au 2.64-2.75
Au (0.0400, 0.2500, 0.4211)  5 Ge 2.64-2.75, 1 Au 2.85
Au (0.2500, 0.0400, 0.9211)  5 Ge 2.64-2.75, 1 Au 2.85
Au (0.2500, 0.4600, 0.9211)  5 Ge 2.64-2.75, 1 Au 2.85
Au (0.4600, 0.2500, 0.4211)  5 Ge 2.64-2.75, 1 Au 2.85
Au (0.5400, 0.7500, 0.5789)  5 Ge 2.64-2.75, 1 Au 2.85
Au (0.7500, 0.5400, 0.0789)  5 Ge 2.64-2.75, 1 Au 2.85
Au (0.7500, 0.9600, 0.0789)  5 Ge 2.64-2.75, 1 Au 2.85
Au (0.9600, 0.7500, 0.5789)  5 Ge 2.64-2.75, 1 Au 2.85

| no. | DFT total energy (eV/atom) |
| --- | --- |
| 1 | -8.060 |
| 2 | -4.363 |
| 3 | -3.913 |